[1]
FeWCl2 | GGA-PBEsol | optimized geometry Values from VASP.

The electronic total energy comes out at -23.101 eV/cell. The value obtained for the uncorrected formation energy is 921 meV per atom. The distance to the lowest polymorph of the same formula is 700.6 meV per atom. As for the space group: No. 123. For the total moment, the calculation gives 1.47 μB/cell.

Geometry as Quantum ESPRESSO input:
```
&SYSTEM
  ibrav = 0, nat = 4, ntyp = 3
/
ATOMIC_SPECIES
Fe 55.84 Fe.upf
W 183.84 W.upf
Cl 35.45 Cl.upf
ATOMIC_POSITIONS crystal
Fe 0.000 0.000 0.000
W 0.000 0.000 0.500
Cl 0.500 0.500 0.243
Cl 0.500 0.500 0.757
CELL_PARAMETERS angstrom
3.001 0.000 0.000
0.000 3.001 0.000
0.000 0.000 5.976
```

---

[2]
Fe2WCl | GGA-PBEsol | optimized geometry Values from VASP.

The electronic total energy comes out at -32.188 eV/cell. The value obtained for the uncorrected formation energy is 389 meV per atom. The distance to the lowest polymorph of the same formula is 4.1 meV per atom. As for the space group: No. 99. For the total moment, the calculation gives 4.50 μB/cell.

Geometry as Quantum ESPRESSO input:
```
&SYSTEM
  ibrav = 0, nat = 4, ntyp = 3
/
ATOMIC_SPECIES
Fe 55.84 Fe.upf
W 183.84 W.upf
Cl 35.45 Cl.upf
ATOMIC_POSITIONS crystal
Fe 0.000 0.000 0.000
Fe 0.500 0.500 0.208
W 0.000 0.000 0.434
Cl 0.500 0.500 0.700
CELL_PARAMETERS angstrom
2.848 0.000 0.000
0.000 2.848 0.000
0.000 0.000 6.734
```

---

[3]
FeWCl2 | GGA-PBEsol | optimized geometry Values from VASP.

The electronic total energy comes out at -25.904 eV/cell. The value obtained for the uncorrected formation energy is 221 meV per atom. The distance to the lowest polymorph of the same formula is 0.0 meV per atom. As for the space group: No. 71. For the total moment, the calculation gives 2.14 μB/cell.

Geometry as Quantum ESPRESSO input:
```
&SYSTEM
  ibrav = 0, nat = 4, ntyp = 3
/
ATOMIC_SPECIES
Fe 55.84 Fe.upf
W 183.84 W.upf
Cl 35.45 Cl.upf
ATOMIC_POSITIONS crystal
Fe 0.000 0.000 0.000
W 0.500 0.500 0.000
Cl 0.352 0.852 0.500
Cl 0.648 0.148 0.500
CELL_PARAMETERS angstrom
-1.460 2.101 6.662
1.460 -2.101 6.662
1.460 2.101 -6.662
```

---

[4]
FeWCl2 | GGA-PBEsol | optimized geometry Values from VASP.

The electronic total energy comes out at -24.391 eV/cell. The value obtained for the uncorrected formation energy is 599 meV per atom. The distance to the lowest polymorph of the same formula is 378.1 meV per atom. As for the space group: No. 65. For the total moment, the calculation gives 3.23 μB/cell.

Geometry as Quantum ESPRESSO input:
```
&SYSTEM
  ibrav = 0, nat = 4, ntyp = 3
/
ATOMIC_SPECIES
Fe 55.84 Fe.upf
W 183.84 W.upf
Cl 35.45 Cl.upf
ATOMIC_POSITIONS crystal
Fe 0.000 0.000 0.000
W 0.000 0.000 0.500
Cl 0.500 0.500 0.248
Cl 0.500 0.500 0.752
CELL_PARAMETERS angstrom
1.404 -2.717 0.000
1.404 2.717 0.000
0.000 0.000 8.131
```

---

[5]
FeW2Cl | GGA-PBEsol | optimized geometry Values from VASP.

The electronic total energy comes out at -33.600 eV/cell. The value obtained for the uncorrected formation energy is 1247 meV per atom. The distance to the lowest polymorph of the same formula is 776.8 meV per atom. As for the space group: No. 123. For the total moment, the calculation gives 2.47 μB/cell.

Geometry as Quantum ESPRESSO input:
```
&SYSTEM
  ibrav = 0, nat = 4, ntyp = 3
/
ATOMIC_SPECIES
Fe 55.84 Fe.upf
W 183.84 W.upf
Cl 35.45 Cl.upf
ATOMIC_POSITIONS crystal
Fe 0.000 0.000 0.000
W 0.000 0.500 0.500
W 0.500 0.000 0.500
Cl 0.500 0.500 0.000
CELL_PARAMETERS angstrom
3.714 0.000 0.000
0.000 3.714 0.000
0.000 0.000 4.358
```

---

[6]
FeWCl2 | GGA-PBEsol | optimized geometry Values from VASP.

The electronic total energy comes out at -24.549 eV/cell. The value obtained for the uncorrected formation energy is 560 meV per atom. The distance to the lowest polymorph of the same formula is 338.7 meV per atom. As for the space group: No. 10. For the total moment, the calculation gives 3.29 μB/cell.

Geometry as Quantum ESPRESSO input:
```
&SYSTEM
  ibrav = 0, nat = 4, ntyp = 3
/
ATOMIC_SPECIES
Fe 55.84 Fe.upf
W 183.84 W.upf
Cl 35.45 Cl.upf
ATOMIC_POSITIONS crystal
Fe 0.000 0.000 0.000
W 0.500 0.000 0.500
Cl 0.354 0.500 0.247
Cl 0.646 0.500 0.753
CELL_PARAMETERS angstrom
2.832 0.000 0.000
0.000 4.099 0.000
-1.153 0.000 5.358
```